Entry from OQMD: GePtSO after structural relaxation (PBE).

electronic total energy	-5.329	eV/atom

Cell and atoms, written as CIF:
```
data_GePtSO
_chemical_formula_sum 'Ge2 Pt2 S2 O2'
_cell_length_a 3.526
_cell_length_b 3.526
_cell_length_c 11.440
_cell_angle_alpha 90.00
_cell_angle_beta 90.00
_cell_angle_gamma 90.00
_symmetry_space_group_name_H-M 'P 4/n m m'
_symmetry_Int_Tables_number 129
loop_
_symmetry_equiv_pos_as_xyz
'x,y,z'
'-x,-y,-z'
'-y+1/2,x,z'
'y+1/2,-x,-z'
'-x+1/2,-y+1/2,z'
'x+1/2,y+1/2,-z'
'y,-x+1/2,z'
'-y,x+1/2,-z'
'x+1/2,-y,-z'
'-x+1/2,y,z'
'-y,-x,-z'
'y,x,z'
'-x,y+1/2,-z'
'x,-y+1/2,z'
'y+1/2,x+1/2,-z'
'-y+1/2,-x+1/2,z'
loop_
_atom_site_label
_atom_site_type_symbol
_atom_site_fract_x
_atom_site_fract_y
_atom_site_fract_z
Ge1 Ge 0.250 0.250 0.094
Pt1 Pt 0.250 0.250 0.603
S1 S 0.250 0.250 0.389
O1 O 0.250 0.750 0.000
```